A relaxed structure of Ba2CuNCl, computed with PBE-GGA.

POSCAR file:
```
Ba2CuNCl
1.0
-0.239 2.727 5.050
1.439 -3.026 1.702
5.301 2.042 -0.852
Ba N Cl Cu
2 1 1 1
Direct
0.000 0.000 0.500
0.500 0.000 0.000
0.000 0.000 0.000
0.500 0.500 0.500
0.000 0.500 0.000
```

Properties
energy relative to the elements, uncorrected = -81.4 kJ per mole of atoms
E_tot = -4.47 eV per atom
symmetry = No. 123